Entry 1:
Entry from Alexandria: a relaxed structure of Be2Se (GGA-PBE).

Cell: 17.262 3.386 3.390 Å, 90.00 90.13 90.00°
Element x y z (fractional)
Be (0.045, 0.000, 0.251)
Be (0.053, 0.500, 0.751)
Be (0.447, 0.000, 0.249)
Be (0.455, 0.500, 0.749)
Be (0.545, 0.500, 0.251)
Be (0.553, 0.000, 0.751)
Be (0.947, 0.500, 0.249)
Be (0.955, 0.000, 0.749)
Se (0.135, 0.500, 0.252)
Se (0.365, 0.000, 0.748)
Se (0.635, 0.000, 0.252)
Se (0.865, 0.500, 0.748)

Results
Total DFT energy (no corrections) (eV/atom): -3.85
Space-group type: No. 12
Crystal system: monoclinic
D(E_F) (states/eV per cell): 1.65
Uncorrected formation energy (eV per atom): -0.206
Energy above the lowest structure with this stoichiometry (eV/atom): 0.0840
M_tot (μB/cell): 0.0

---

Entry 2:
Entry from Alexandria: a relaxed structure of Th3N4 (GGA-PBE).

Cell: 5.073 5.073 5.073 Å, 90.00 90.00 90.00°
Element x y z (fractional)
Th (0.000, 0.000, 0.500)
Th (0.000, 0.500, 0.000)
Th (0.500, 0.000, 0.000)
N (0.000, 0.000, 0.000)
N (0.000, 0.500, 0.500)
N (0.500, 0.000, 0.500)
N (0.500, 0.500, 0.000)

Results
Total DFT energy (no corrections) (eV/atom): -8.92
Space-group type: No. 221
Crystal system: cubic
D(E_F) (states/eV per cell): 4.55
Uncorrected formation energy (eV per atom): -0.979
Energy above the lowest structure with this stoichiometry (eV/atom): 0.6326
M_tot (μB/cell): 0.4

---

Entry 3:
Entry from Alexandria: a relaxed structure of AcLa2Pm3N6 (GGA-PBE).

Cell: 8.314 8.314 7.439 Å, 103.16 103.16 25.75°
Element x y z (fractional)
Ac (0.000, 0.000, 0.000)
La (0.333, 0.333, 0.661)
La (0.667, 0.667, 0.339)
Pm (0.000, 0.000, 0.500)
Pm (0.331, 0.331, 0.165)
Pm (0.669, 0.669, 0.835)
N (0.167, 0.167, 0.581)
N (0.172, 0.172, 0.075)
N (0.499, 0.499, 0.262)
N (0.501, 0.501, 0.738)
N (0.828, 0.828, 0.925)
N (0.833, 0.833, 0.419)

Results
Total DFT energy (no corrections) (eV/atom): -7.82
Space-group type: No. 12
Crystal system: monoclinic
D(E_F) (states/eV per cell): 0.55
Uncorrected formation energy (eV per atom): -1.311
M_tot (μB/cell): 0.0